The following is a DFT calculation (GGA-PBE) of a relaxed structure of NaSm2PuO6.

Output
**Total energy**: -8.41 eV per atom
**Crystal system**: trigonal

The structure in CIF format:
```
data_NaSm2PuO6
_chemical_formula_sum 'Na3 Sm6 Pu3 O18'
_cell_length_a 5.9331
_cell_length_b 5.9331
_cell_length_c 15.4203
_cell_angle_alpha 90.00
_cell_angle_beta 90.00
_cell_angle_gamma 120.00
_symmetry_space_group_name_H-M 'R 3'
_symmetry_Int_Tables_number 146
_symmetry_space_group_name_Hall 'R 3'
loop_
_atom_site_label
_atom_site_type_symbol
_atom_site_fract_x
_atom_site_fract_y
_atom_site_fract_z
_atom_site_occupancy
Na1 Na 0.0000 0.0000 0.0000 1
Sm1 Sm 0.0000 0.0000 0.2714 1
Sm2 Sm 0.0000 0.0000 0.7808 1
Pu1 Pu 0.0000 0.0000 0.4831 1
O1 O 0.0116 0.7342 0.3920 1
O2 O 0.0308 0.3388 0.5477 1
```